1.
Compound: MnRePCl2
Source: Alexandria
Functional: GGA-PBEsol
Structure: optimized geometry

Computed properties:
* SG: P4/mmm (123)
* formation energy without anion corrections: 0.684 eV/atom

a b c (Å): 4.6032 4.7854 4.7854
angles (deg): 90.00 90.00 90.00
Closest atoms and distances in Å follow each position.
Atoms (fractional coordinates):
Cl1 0.0000 0.0000 0.5000  2 Re 2.39
Cl2 0.0000 0.5000 0.0000  2 Re 2.39
Mn1 0.5000 0.5000 0.5000  8 Cl 3.32, 4 P 3.38
P1 0.5000 0.0000 0.0000  2 Re 2.30
Re1 0.0000 0.0000 0.0000  2 P 2.30, 4 Cl 2.39



2.
Compound: RuF6
Source: Alexandria
Functional: GGA-PBEsol
Structure: optimized geometry

Computed properties:
* SG: Im-3m (229)
* formation energy without anion corrections: -1.578 eV/atom

a b c (Å): 5.4712 5.4712 5.4712
angles (deg): 109.47 109.47 109.47
Closest atoms and distances in Å follow each position.
Atoms (fractional coordinates):
Ru1 0.0000 0.0000 0.0000  6 F 1.83
F1 0.7104 0.0000 0.7104  1 Ru 1.83
F2 0.2896 0.2896 0.0000  1 Ru 1.83
F3 0.0000 0.2896 0.2896  1 Ru 1.83
F4 0.2896 0.0000 0.2896  1 Ru 1.83
F5 0.0000 0.7104 0.7104  1 Ru 1.83
F6 0.7104 0.7104 0.0000  1 Ru 1.83



3.
Compound: PtAu3
Source: Alexandria
Functional: GGA-PBEsol
Structure: optimized geometry

Computed properties:
* SG: P4/mmm (123)
* energy of formation: 28 meV/atom

a b c (Å): 2.8464 2.8464 8.1051
angles (deg): 90.00 90.00 90.00
Closest atoms and distances in Å follow each position.
Atoms (fractional coordinates):
Au1 0.0000 0.0000 0.7440  4 Pt 2.82, 8 Au 2.85-2.89
Pt1 0.5000 0.5000 0.5000  8 Au 2.82, 4 Pt 2.85
Au2 0.5000 0.5000 0.0000  12 Au 2.85-2.89
Au3 0.0000 0.0000 0.2560  4 Pt 2.82, 8 Au 2.85-2.89



4.
Compound: MgNbAlSi2
Source: Alexandria
Functional: GGA-PBEsol
Structure: optimized geometry

Computed properties:
* SG: P4/mmm (123)
* formation energy without anion corrections: 0.964 eV/atom

a b c (Å): 4.6347 4.6347 4.7571
angles (deg): 90.00 90.00 90.00
Closest atoms and distances in Å follow each position.
Atoms (fractional coordinates):
Mg1 0.5000 0.5000 0.5000  4 Nb 3.28, 8 Si 3.32
Si1 0.0000 0.5000 0.0000  2 Al 2.32
Si2 0.5000 0.0000 0.0000  2 Al 2.32
Al1 0.0000 0.0000 0.0000  4 Si 2.32, 2 Nb 2.38
Nb1 0.0000 0.0000 0.5000  2 Al 2.38



5.
Compound: TcTePd2Pt
Source: Alexandria
Functional: GGA-PBEsol
Structure: optimized geometry

Computed properties:
* SG: P4/mmm (123)
* formation energy without anion corrections: 1.176 eV/atom

a b c (Å): 4.5918 4.8723 4.8723
angles (deg): 90.00 90.00 90.00
Closest atoms and distances in Å follow each position.
Atoms (fractional coordinates):
Pd1 0.0000 0.0000 0.5000  2 Pt 2.44
Tc1 0.5000 0.0000 0.0000  2 Pt 2.30
Pt1 0.0000 0.0000 0.0000  2 Tc 2.30, 4 Pd 2.44
Pd2 0.0000 0.5000 0.0000  2 Pt 2.44
Te1 0.5000 0.5000 0.5000  8 Pd 3.35, 4 Tc 3.45



6.
Compound: Ba6Mg23
Source: Alexandria
Functional: GGA-PBEsol
Structure: optimized geometry

Computed properties:
* SG: Fm-3m (225)
* energy of formation: -84 meV/atom

a b c (Å): 10.6465 10.6465 10.6465
angles (deg): 60.00 60.00 60.00
Closest atoms and distances in Å follow each position.
Atoms (fractional coordinates):
Ba1 0.7881 0.7881 0.2119  12 Mg 3.61-3.81
Mg1 0.0000 0.5000 0.0000  8 Mg 3.08-3.28
Mg2 0.8236 0.8236 0.5293  9 Mg 3.08-3.24
Mg3 0.6224 0.6224 0.6224  7 Mg 3.19-3.28
Mg4 0.1764 0.1764 0.1764  9 Mg 3.08-3.24
Mg5 0.3776 0.8671 0.3776  7 Mg 3.19-3.28
Mg6 0.5000 0.0000 0.5000  8 Mg 3.08-3.28
Mg7 0.1764 0.1764 0.4707  9 Mg 3.08-3.24
Mg8 0.3776 0.3776 0.8671  7 Mg 3.19-3.28
Ba2 0.2119 0.7881 0.7881  12 Mg 3.61-3.81
Ba3 0.2119 0.7881 0.2119  12 Mg 3.61-3.81
Mg9 0.8236 0.5293 0.8236  9 Mg 3.08-3.24
Mg10 0.5000 0.5000 0.0000  8 Mg 3.08-3.28
Mg11 0.8671 0.3776 0.3776  7 Mg 3.19-3.28
Mg12 0.1764 0.4707 0.1764  9 Mg 3.08-3.24
Mg13 0.0000 0.5000 0.5000  8 Mg 3.08-3.28
Mg14 0.5000 0.0000 0.0000  8 Mg 3.08-3.28
Mg15 0.5000 0.5000 0.5000  8 Mg 3.19
Mg16 0.1329 0.6224 0.6224  7 Mg 3.19-3.28
Mg17 0.6224 0.1329 0.6224  7 Mg 3.19-3.28
Mg18 0.4707 0.1764 0.1764  9 Mg 3.08-3.24
Ba4 0.2119 0.2119 0.7881  12 Mg 3.61-3.81
Mg19 0.5293 0.8236 0.8236  9 Mg 3.08-3.24
Ba5 0.7881 0.2119 0.7881  12 Mg 3.61-3.81
Ba6 0.7881 0.2119 0.2119  12 Mg 3.61-3.81
Mg20 0.8236 0.8236 0.8236  9 Mg 3.08-3.24
Mg21 0.6224 0.6224 0.1329  7 Mg 3.19-3.28
Mg22 0.0000 0.0000 0.5000  8 Mg 3.08-3.28
Mg23 0.3776 0.3776 0.3776  7 Mg 3.19-3.28



7.
Compound: AgAu5
Source: Alexandria
Functional: GGA-PBEsol
Structure: optimized geometry

Computed properties:
* energy relative to the lowest polymorph listed for this composition: 175 meV/atom
* SG: P6/mmm (191)
* energy of formation: 147 meV/atom

a b c (Å): 4.5986 5.3681 5.3681
angles (deg): 120.00 90.00 90.00
Closest atoms and distances in Å follow each position.
Atoms (fractional coordinates):
Ag1 0.0000 0.0000 0.0000  6 Au 3.10
Au1 0.0000 0.3333 0.6667  9 Au 2.77-3.10, 3 Ag 3.10
Au2 0.5000 0.0000 0.5000  8 Au 2.68-2.77
Au3 0.5000 0.5000 0.0000  8 Au 2.68-2.77
Au4 0.0000 0.6667 0.3333  9 Au 2.77-3.10, 3 Ag 3.10
Au5 0.5000 0.5000 0.5000  8 Au 2.68-2.77



8.
Compound: Sn2Te2Pb
Source: Alexandria
Functional: GGA-PBEsol
Structure: optimized geometry

Computed properties:
* SG: I4/mmm (139)
* formation energy without anion corrections: -0.025 eV/atom

a b c (Å): 4.1846 4.1846 9.1474
angles (deg): 103.22 103.22 90.00
Closest atoms and distances in Å follow each position.
Atoms (fractional coordinates):
Sn1 0.7500 0.2500 0.5000  4 Sn 2.96
Sn2 0.2500 0.7500 0.5000  4 Sn 2.96
Te1 0.4037 0.4037 0.8075  1 Te 3.33, 4 Sn 3.39, 4 Pb 3.40
Te2 0.5963 0.5963 0.1925  1 Te 3.33, 4 Sn 3.39, 4 Pb 3.40
Pb1 0.0000 0.0000 0.0000  8 Te 3.40



| no. | D(E_F) (states/eV per atom) | density (g/cm³) |
| --- | --- | --- |
| 1 | 0.841 | 5.4 |
| 2 | 1.453 | 2.8 |
| 3 | 0.439 | 19.9 |
| 4 | 0.750 | 3.3 |
| 5 | 1.083 | 9.7 |
| 6 | 0.653 | 2.7 |
| 7 | 0.330 | 15.8 |
| 8 | 0.635 | 7.7 |